Rb3AsAu after structural relaxation. Source: Alexandria, functional PBE.

Cell: 6.593 6.593 6.593 Å, 90.00 90.00 90.00°
Last column: magnetic moment on the atom in μB.
Atoms (fractional coordinates):
Rb1 0.500 0.000 0.000  0.01
Rb2 0.000 0.500 0.000  0.01
Rb3 0.000 0.000 0.500  0.03
Au1 0.500 0.500 0.500  0.00
As1 0.000 0.000 0.000  0.38

Computed properties:
The calculated formation energy comes out at -0.3 eV per formula unit. Its relative energy among the computed polymorphs is 109.1 kJ/mol of formula units. The calculation puts the calculated total energy at -11.14 eV/cell.

=====

Pm12Si5Pd2 after structural relaxation. Source: Alexandria, functional PBE.

Cell: 7.347 9.189 9.410 Å, 102.52 90.00 113.56°
Atoms (fractional coordinates):
Pm1 0.913 0.342 0.099
Pm2 0.087 0.658 0.901
Pm3 0.508 0.016 0.283
Pm4 0.429 0.342 0.099
Pm5 0.492 0.984 0.717
Pm6 0.608 0.698 0.428
Pm7 0.091 0.698 0.428
Pm8 0.571 0.658 0.901
Pm9 0.020 0.039 0.817
Pm10 0.909 0.302 0.572
Pm11 0.392 0.302 0.572
Pm12 0.980 0.961 0.183
Si1 0.304 0.607 0.637
Si2 0.320 0.641 0.171
Si3 0.680 0.359 0.829
Si4 0.696 0.393 0.363
Si5 0.000 0.000 0.500
Pd1 0.311 0.000 0.000
Pd2 0.689 0.000 0.000

Computed properties:
The formation energy from raw total energies comes out at -0.404 eV/atom. The calculation puts the calculated total energy at -102.18 eV/cell.

=====

HfAs2Ru after structural relaxation. Source: Alexandria, functional PBE.

Cell: 3.915 3.915 5.773 Å, 70.18 70.18 60.00°
Atoms (fractional coordinates):
Ru1 0.000 0.000 0.000
As1 0.739 0.739 0.784
As2 0.261 0.261 0.216
Hf1 0.500 0.500 0.500

Computed properties:
The calculated formation energy comes out at -1.7 eV per formula unit. Its relative energy among the computed polymorphs is 0.0 kJ/mol of formula units. The calculation puts the calculated total energy at -30.21 eV/cell.

=====

Pr3Mg2Ir3 after structural relaxation. Source: Alexandria, functional PBE.

Cell: 5.927 8.462 8.462 Å, 120.00 90.00 90.00°
Atoms (fractional coordinates):
Pr1 0.750 0.727 0.727
Pr2 0.250 0.000 0.727
Pr3 0.250 0.273 0.273
Pr4 0.750 0.000 0.273
Pr5 0.750 0.273 0.000
Pr6 0.250 0.727 0.000
Ir1 0.250 0.392 0.000
Ir2 0.750 0.000 0.608
Ir3 0.250 0.608 0.608
Ir4 0.750 0.392 0.392
Ir5 0.250 0.000 0.392
Ir6 0.750 0.608 0.000
Mg1 0.500 0.667 0.333
Mg2 0.000 0.333 0.667
Mg3 0.000 0.667 0.333
Mg4 0.500 0.333 0.667

Computed properties:
The calculated formation energy comes out at -3.9 eV per formula unit. The calculation puts the calculated total energy at -96.05 eV/cell.

=====

Number 1: N(E_F) 3.53 states/eV/f.u., V 287 Å³ per cell. Number 2: N(E_F) 21.73 states/eV/f.u., V 566 Å³ per cell. Number 3: N(E_F) 1.14 states/eV/f.u., V 71 Å³ per cell. Number 4: N(E_F) 3.95 states/eV/f.u., V 368 Å³ per cell.